Record 1
Below is an optimized crystal structure of Ac3HgPd8Pb2, with properties calculated at the PBE level.

CIF file:
```
data_Ac3HgPd8Pb2
_symmetry_space_group_name_H-M 'P -3 m 1'
_symmetry_Int_Tables_number 164
_symmetry_space_group_name_Hall '-P 3 2"'
_cell_length_a 5.7050
_cell_length_b 5.7050
_cell_length_c 11.2371
_cell_angle_alpha 90.00
_cell_angle_beta 90.00
_cell_angle_gamma 120.00
loop_
_atom_site_label
_atom_site_type_symbol
_atom_site_fract_x
_atom_site_fract_y
_atom_site_fract_z
Ac1 Ac 0.0000 0.0000 0.0000
Ac2 Ac 0.3333 0.6667 0.5916
Hg1 Hg 0.0000 0.0000 0.5000
Pd1 Pd 0.1638 0.3276 0.2933
Pd2 Pd 0.3333 0.6667 0.8540
Pb1 Pb 0.3333 0.6667 0.1009
```

Properties
- calculated formation energy (eV per atom) = -0.54

Record 2
Below is an optimized crystal structure of NdSm4, with properties calculated at the PBE level.

CIF file:
```
data_NdSm4
_symmetry_space_group_name_H-M 'I 4/m m m'
_symmetry_Int_Tables_number 139
_symmetry_space_group_name_Hall '-I 4 2'
_cell_length_a 3.6400
_cell_length_b 3.6400
_cell_length_c 25.7497
_cell_angle_alpha 90.00
_cell_angle_beta 90.00
_cell_angle_gamma 90.00
loop_
_atom_site_label
_atom_site_type_symbol
_atom_site_fract_x
_atom_site_fract_y
_atom_site_fract_z
Nd1 Nd 0.0000 0.0000 0.0000
Sm1 Sm 0.0000 0.0000 0.2003
Sm2 Sm 0.0000 0.0000 0.3992
```

Properties
- calculated formation energy (eV per atom) = 0.02

Record 3
Below is an optimized crystal structure of Pm2Er4Mg, with properties calculated at the PBE level.

CIF file:
```
data_Pm2Er4Mg
_symmetry_space_group_name_H-M 'I -4 2 m'
_symmetry_Int_Tables_number 121
_symmetry_space_group_name_Hall 'I -4 2'
_cell_length_a 8.2267
_cell_length_b 8.2267
_cell_length_c 6.6059
_cell_angle_alpha 90.00
_cell_angle_beta 90.00
_cell_angle_gamma 90.00
loop_
_atom_site_label
_atom_site_type_symbol
_atom_site_fract_x
_atom_site_fract_y
_atom_site_fract_z
Pm1 Pm 0.0000 0.5000 0.2500
Er1 Er 0.2017 0.2017 0.0711
Mg1 Mg 0.0000 0.0000 0.5000
```

Properties
- calculated formation energy (eV per atom) = 0.32

Record 4
Below is an optimized crystal structure of K4La, with properties calculated at the PBE level.

CIF file:
```
data_K4La
_symmetry_space_group_name_H-M 'I 4/m m m'
_symmetry_Int_Tables_number 139
_symmetry_space_group_name_Hall '-I 4 2'
_cell_length_a 5.4962
_cell_length_b 5.4962
_cell_length_c 20.4901
_cell_angle_alpha 90.00
_cell_angle_beta 90.00
_cell_angle_gamma 90.00
loop_
_atom_site_label
_atom_site_type_symbol
_atom_site_fract_x
_atom_site_fract_y
_atom_site_fract_z
K1 K 0.0000 0.0000 0.0924
K2 K 0.0000 0.5000 0.2500
La1 La 0.0000 0.0000 0.5000
```

Properties
- calculated formation energy (eV per atom) = 0.50

| no. | V (Å³/atom) |
| --- | --- |
| 1 | 22.62 |
| 2 | 34.12 |
| 3 | 31.93 |
| 4 | 61.90 |